Below is a crystal of TaOs2Pt relaxed with PBEsol, with properties calculated at the meta-GGA SCAN level.

a = 3.8859 Å, b = 3.9040 Å, c = 3.9040 Å
α = 90.00°, β = 90.00°, γ = 90.00°
Element x y z (fractional)
Os  0.0000  0.0000  0.5000
Os  0.0000  0.5000  0.0000
Pt  0.5000  0.5000  0.5000
Ta  0.5000  0.0000  0.0000

Calculated values
Distance to the lowest polymorph of the same formula, meV/atom: 0.0

***

Below is a crystal of MoAs2W relaxed with PBEsol, with properties calculated at the meta-GGA SCAN level.

a = 4.3735 Å, b = 4.3735 Å, c = 4.3735 Å
α = 60.00°, β = 60.00°, γ = 60.00°
Element x y z (fractional)
Mo  0.0000  0.0000  0.0000
As  0.2500  0.2500  0.2500
As  0.7500  0.7500  0.7500
W  0.5000  0.5000  0.5000

Calculated values
Distance to the lowest polymorph of the same formula, meV/atom: 0.0

***

Below is a crystal of BeCuReAs2 relaxed with PBEsol, with properties calculated at the meta-GGA SCAN level.

a = 4.1725 Å, b = 4.2697 Å, c = 4.2697 Å
α = 90.00°, β = 90.00°, γ = 90.00°
Site moments in Bohr magnetons follow the coordinates.
Element x y z (fractional)
Re  0.5000  0.0000  0.0000  1.25
As  0.0000  0.0000  0.5000  -0.01
As  0.0000  0.5000  0.0000  -0.01
Cu  0.5000  0.5000  0.5000  0.06
Be  0.0000  0.0000  0.0000  0.00

Calculated values
Raw total energy, hartree per atom: -0.924